# 1
Y3TmSc2Bi6: optimized geometry, GGA-PBE.

The crystal system is monoclinic. As for the electronic total energy: -5.778 eV/atom. The formation energy is -793 meV per atom. The calculation puts the density of states at the Fermi level at 0.181 states/eV/atom.

The structure belongs to space group C2/m (No. 12); the cell edges are 7.629, 13.218 and 7.624 Å and the angles 90.00°, 109.49° and 90.00°. Symmetry generates all atoms from Y at (0.000, 0.000, 0.000), Y at (0.000, 0.336, 0.000), Tm at (0.000, 0.500, 0.500), Sc at (0.000, 0.168, 0.500), Bi at (0.239, 0.000, 0.736) and Bi at (0.250, 0.170, 0.260).


# 2
Rb2AcNdS4: optimized geometry, GGA-PBE.

The crystal system is monoclinic. As for the electronic total energy: -5.259 eV/atom. For the formation energy without anion corrections, the calculation gives -1.844 eV/atom. The calculation puts the density of states at the Fermi level at 0.000 states/eV/atom.

The structure belongs to space group P2/m (No. 10); the cell edges are 7.531, 4.346 and 8.124 Å and the angles 90.00°, 107.95° and 90.00°. Symmetry generates all atoms from Rb at (0.000, 0.000, 0.000), Rb at (0.500, 0.500, 0.000), Ac at (0.000, 0.500, 0.500), Nd at (0.500, 0.000, 0.500), S at (0.244, 0.000, 0.702) and S at (0.277, 0.500, 0.302).